Entry 1:
# K2EuSi4O10F GGA-PBEsol relaxed
data_K2EuSi4O10F
_chemical_formula_sum 'K8 Eu4 Si16 O40 F4'
_cell_length_a 11.689
_cell_length_b 8.546
_cell_length_c 11.859
_cell_angle_alpha 90.00
_cell_angle_beta 113.20
_cell_angle_gamma 90.00
_symmetry_space_group_name_H-M 'P 1 21/m 1'
_symmetry_Int_Tables_number 11
_symmetry_space_group_name_Hall '-P 2yb'
loop_
_atom_site_label
_atom_site_type_symbol
_atom_site_fract_x
_atom_site_fract_y
_atom_site_fract_z
K1 K 0.008 0.250 0.472
K2 K 0.092 0.250 0.082
K3 K 0.435 0.750 0.558
K4 K 0.470 0.250 0.035
Eu1 Eu 0.289 0.005 0.713
Si1 Si 0.007 0.070 0.755
Si2 Si 0.218 0.571 0.969
Si3 Si 0.253 0.072 0.382
Si4 Si 0.391 0.564 0.235
O1 O 0.045 0.750 0.257
O2 O 0.080 0.033 0.668
O3 O 0.094 0.040 0.902
O4 O 0.113 0.047 0.273
O5 O 0.163 0.750 0.963
O6 O 0.254 0.046 0.515
O7 O 0.268 0.511 0.113
O8 O 0.293 0.250 0.358
O9 O 0.321 0.555 0.913
O10 O 0.352 0.543 0.354
O11 O 0.417 0.750 0.225
O12 O 0.492 0.542 0.752
F1 F 0.249 0.750 0.654
F2 F 0.326 0.250 0.788
# **V**: 1088.9 Å³/cell
# **Size of the total moment**: 24.0 μB/cell
# **Energy**: -7.8082 eV per atom
# **DOS at the Fermi energy**: 0.561 states/eV per atom



Entry 2:
# Na5Eu4Si4O16F GGA-PBEsol relaxed
data_Na5Eu4Si4O16F
_chemical_formula_sum 'Na10 Eu8 Si8 O32 F2'
_cell_length_a 11.765
_cell_length_b 11.765
_cell_length_c 5.472
_cell_angle_alpha 90.00
_cell_angle_beta 90.00
_cell_angle_gamma 90.00
_symmetry_space_group_name_H-M 'I -4'
_symmetry_Int_Tables_number 82
_symmetry_space_group_name_Hall 'I -4'
loop_
_atom_site_label
_atom_site_type_symbol
_atom_site_fract_x
_atom_site_fract_y
_atom_site_fract_z
Na1 Na 0.000 0.000 0.000
Na2 Na 0.089 0.607 0.514
Eu1 Eu 0.115 0.182 0.525
Si1 Si 0.103 0.751 0.011
O1 O 0.034 0.788 0.259
O2 O 0.049 0.815 0.773
O3 O 0.107 0.613 0.977
O4 O 0.204 0.234 0.933
F1 F 0.000 0.000 0.500
# **V**: 757.4 Å³/cell
# **Size of the total moment**: 48.0 μB/cell
# **Energy**: -7.9661 eV per atom
# **DOS at the Fermi energy**: 1.458 states/eV per atom



Entry 3:
# Eu2FeH6 GGA-PBEsol relaxed
data_Eu2FeH6
_chemical_formula_sum 'Eu8 Fe4 H24'
_cell_length_a 7.115
_cell_length_b 7.115
_cell_length_c 7.115
_cell_angle_alpha 90.00
_cell_angle_beta 90.00
_cell_angle_gamma 90.00
_symmetry_space_group_name_H-M 'F m -3 m'
_symmetry_Int_Tables_number 225
_symmetry_space_group_name_Hall '-F 4 2 3'
loop_
_atom_site_label
_atom_site_type_symbol
_atom_site_fract_x
_atom_site_fract_y
_atom_site_fract_z
Eu1 Eu 0.250 0.250 0.250
Fe1 Fe 0.000 0.000 0.000
H1 H 0.000 0.000 0.226
# **V**: 360.2 Å³/cell
# **Size of the total moment**: 56.0 μB/cell
# **Energy**: -6.1102 eV per atom
# **DOS at the Fermi energy**: 2.360 states/eV per atom



Entry 4:
# EuGa GGA-PBEsol relaxed
data_EuGa
_chemical_formula_sum 'Eu8 Ga8'
_cell_length_a 10.576
_cell_length_b 6.887
_cell_length_c 5.330
_cell_angle_alpha 90.00
_cell_angle_beta 97.56
_cell_angle_gamma 90.00
_symmetry_space_group_name_H-M 'C 1 2/m 1'
_symmetry_Int_Tables_number 12
_symmetry_space_group_name_Hall '-C 2y'
loop_
_atom_site_label
_atom_site_type_symbol
_atom_site_fract_x
_atom_site_fract_y
_atom_site_fract_z
Eu1 Eu 0.126 0.000 0.229
Eu2 Eu 0.165 0.500 0.210
Ga1 Ga 0.096 0.292 0.696
# **Formation energy from the elements**: -533 meV per atom
# **V**: 384.8 Å³/cell
# **Size of the total moment**: 55.8 μB/cell
# **Energy**: -7.4848 eV per atom
# **DOS at the Fermi energy**: 1.431 states/eV per atom